Entry from the Alexandria database: TaFe2Pb after structural relaxation (GGA-PBE).

Summary:
Calculated total energy ... -7.764 eV per atom
Space-group type ... Pm
D(E_F) ... 3.40 states/eV per cell
Formation energy from the elements ... 0.3578 eV per atom
Crystal system ... monoclinic

Cell: 3.2229 3.2435 7.3363 Å, 61.95 90.00 90.00°
Closest atoms and distances in Å follow each position.
Sites, in units of the cell vectors:
Fe  0.0000  0.9829  0.0176  4 Fe 2.55-2.56, 4 Ta 2.63-2.64
Fe  0.5000  0.2946  0.1938  1 Ta 2.45, 4 Fe 2.55-2.56
Pb  0.0000  0.5227  0.4734  5 Fe 2.87-2.96, 2 Ta 3.12
Ta  0.5000  0.6998  0.8151  5 Fe 2.45-2.64

---

Entry from the Alexandria database: Ta2FePb after structural relaxation (GGA-PBE).

Summary:
Calculated total energy ... -8.557 eV per atom
Space-group type ... R-3m
D(E_F) ... 3.59 states/eV per cell
Formation energy from the elements ... 0.4125 eV per atom
Crystal system ... trigonal

Cell: 7.8628 7.8628 7.8628 Å, 25.64 25.64 25.64°
Closest atoms and distances in Å follow each position.
Sites, in units of the cell vectors:
Fe  0.2500  0.2500  0.2500  6 Ta 2.39
Pb  0.7500  0.7500  0.7500  6 Ta 3.22, 6 Pb 3.49
Ta  0.9733  0.9733  0.9733  3 Fe 2.39
Ta  0.5267  0.5267  0.5267  3 Fe 2.39